No. 1
# LiMnCu2

A relaxed LiMnCu2 crystal (PBE-GGA, the Alexandria database).

Formation enthalpy at 0 K, eV/atom: 0.14
Space-group type: R-3m, No. 166
V, Å³ per cell: 51

a = 8.695 Å, b = 8.695 Å, c = 8.695 Å
α = 17.33°, β = 17.33°, γ = 17.33°
Each line ends with the local moment (μB).
Sites, in units of the cell vectors:
Mn: 0.750 0.750 0.750  2.92
Li: 0.250 0.250 0.250  0.00
Cu: 0.499 0.499 0.499  0.03
Cu: 0.001 0.001 0.001  0.03

No. 2
# LiMn2Cu2

A relaxed LiMn2Cu2 crystal (PBE-GGA, the Alexandria database).

Formation enthalpy at 0 K, eV/atom: 0.34
Space-group type: P4/mbm, No. 127
V, Å³ per cell: 130

a = 7.344 Å, b = 7.344 Å, c = 2.413 Å
α = 90.00°, β = 90.00°, γ = 90.00°
Sites, in units of the cell vectors:
Mn: 0.903 0.597 0.000
Mn: 0.403 0.903 0.000
Mn: 0.097 0.403 0.000
Mn: 0.597 0.097 0.000
Li: 0.000 0.000 0.000
Li: 0.500 0.500 0.000
Cu: 0.694 0.806 0.500
Cu: 0.806 0.306 0.500
Cu: 0.194 0.694 0.500
Cu: 0.306 0.194 0.500

No. 3
# Li2MnCu

A relaxed Li2MnCu crystal (PBE-GGA, the Alexandria database).

Formation enthalpy at 0 K, eV/atom: 0.20
Space-group type: R3m, No. 160
V, Å³ per cell: 58

a = 9.198 Å, b = 9.198 Å, c = 9.198 Å
α = 16.94°, β = 16.94°, γ = 16.94°
Each line ends with the local moment (μB).
Sites, in units of the cell vectors:
Cu: 0.752 0.752 0.752  0.04
Li: 0.246 0.246 0.246  -0.03
Li: 0.007 0.007 0.007  0.00
Mn: 0.495 0.495 0.495  3.27

No. 4
# LiMnCu2

A relaxed LiMnCu2 crystal (PBE-GGA, the Alexandria database).

Formation enthalpy at 0 K, eV/atom: 0.10
Space-group type: Fm-3m, No. 225
V, Å³ per cell: 51

a = 4.174 Å, b = 4.174 Å, c = 4.174 Å
α = 60.00°, β = 60.00°, γ = 60.00°
Each line ends with the local moment (μB).
Sites, in units of the cell vectors:
Mn: 0.500 0.500 0.500  3.51
Cu: 0.750 0.750 0.750  0.10
Cu: 0.250 0.250 0.250  0.10
Li: 0.000 0.000 0.000  -0.04

No. 5
# LiMnCu2

A relaxed LiMnCu2 crystal (PBE-GGA, the Alexandria database).

Formation enthalpy at 0 K, eV/atom: 0.09
Space-group type: Imm2, No. 44
V, Å³ per cell: 51

a = 4.579 Å, b = 4.579 Å, c = 4.579 Å
α = 132.45°, β = 132.74°, γ = 69.29°
Each line ends with the local moment (μB).
Sites, in units of the cell vectors:
Cu: 0.750 0.250 0.500  0.08
Cu: 0.000 0.000 0.000  0.10
Mn: 0.250 0.750 0.500  3.67
Li: 0.500 0.500 0.000  -0.02

No. 6
# Li2MnCu

A relaxed Li2MnCu crystal (PBE-GGA, the Alexandria database).

Formation enthalpy at 0 K, eV/atom: 0.25
Space-group type: Cmm2, No. 35
V, Å³ per cell: 51

a = 2.426 Å, b = 2.426 Å, c = 8.873 Å
α = 90.00°, β = 90.00°, γ = 103.44°
Each line ends with the local moment (μB).
Sites, in units of the cell vectors:
Cu: 0.500 0.500 0.741  0.01
Li: 0.500 0.500 0.270  -0.01
Li: 0.000 0.000 0.977  -0.01
Mn: 0.000 0.000 0.512  0.35

No. 7
# Li2MnCu2

A relaxed Li2MnCu2 crystal (PBE-GGA, the Alexandria database).

Formation enthalpy at 0 K, eV/atom: 0.43
Space-group type: P4/mbm, No. 127
V, Å³ per cell: 121

a = 7.039 Å, b = 7.039 Å, c = 2.437 Å
α = 90.00°, β = 90.00°, γ = 90.00°
Each line ends with the local moment (μB).
Sites, in units of the cell vectors:
Cu: 0.368 0.868 0.000  0.00
Cu: 0.132 0.368 0.000  0.00
Cu: 0.868 0.632 0.000  0.00
Cu: 0.632 0.132 0.000  0.00
Li: 0.168 0.668 0.500  0.00
Li: 0.332 0.168 0.500  0.00
Li: 0.668 0.832 0.500  0.00
Li: 0.832 0.332 0.500  0.00
Mn: 0.500 0.500 0.000  -0.19
Mn: 0.000 0.000 0.000  -0.18

No. 8
# LiMnCu2

A relaxed LiMnCu2 crystal (PBE-GGA, the Alexandria database).

Formation enthalpy at 0 K, eV/atom: 0.18
Space-group type: Cmm2, No. 35
V, Å³ per cell: 50

a = 2.515 Å, b = 2.515 Å, c = 8.736 Å
α = 90.00°, β = 90.00°, γ = 114.48°
Each line ends with the local moment (μB).
Sites, in units of the cell vectors:
Cu: 0.500 0.500 0.245  -0.01
Cu: 0.000 0.000 0.002  0.05
Li: 0.000 0.000 0.495  -0.03
Mn: 0.500 0.500 0.757  2.61